No. 1
Material: LaCu5
Method: DFT, PBE
State: optimized geometry

Total magnetization ... 0.0 μB per cell

The structure in CIF format:
```
data_LaCu5
_symmetry_space_group_name_H-M 'P 1'
_symmetry_Int_Tables_number 1
_symmetry_space_group_name_Hall 'P 1'
_cell_length_a 3.7153
_cell_length_b 7.6682
_cell_length_c 7.6682
_cell_angle_alpha 27.29
_cell_angle_beta 90.00
_cell_angle_gamma 90.00
loop_
_atom_site_label
_atom_site_fract_x
_atom_site_fract_y
_atom_site_fract_z
La1 0.0000 0.0000 0.0000
Cu1 0.0000 0.3251 0.3251
Cu2 0.0000 0.7052 0.7052
Cu3 0.5000 0.2071 0.2071
Cu4 0.5000 0.5950 0.5950
Cu5 0.5000 0.8266 0.8266
```

No. 2
Material: LaCu
Method: DFT, PBE
State: optimized geometry

Total magnetization ... 0.0 μB per cell

The structure in CIF format:
```
data_LaCu
_symmetry_space_group_name_H-M 'P 1'
_symmetry_Int_Tables_number 1
_symmetry_space_group_name_Hall 'P 1'
_cell_length_a 6.7231
_cell_length_b 6.7231
_cell_length_c 6.7231
_cell_angle_alpha 145.07
_cell_angle_beta 71.86
_cell_angle_gamma 119.44
loop_
_atom_site_label
_atom_site_fract_x
_atom_site_fract_y
_atom_site_fract_z
La1 0.0000 0.0000 0.0000
La2 0.1401 0.8217 0.3185
La3 0.5032 0.8217 0.6815
Cu1 0.5523 0.5523 0.0000
Cu2 0.6238 0.2397 0.3842
Cu3 0.8555 0.2397 0.6158
```

no.,energy of formation from the pure elements (eV/atom),theoretical density (g/cm3),energy (eV for the cell shown)
1,0.029,7.6,-25.2
2,-0.069,6.8,-27.5